1.
First-principles (PBE-GGA) data for an optimized crystal structure of PuCd8Au4, as listed in the Alexandria database.

Results
Formation enthalpy at 0 K ... -0.14 eV/atom
Size of the total moment ... 6.18 μB/f.u.

Cell lengths 9.979, 9.979, 5.630 Å; angles 90.00, 90.00, 90.00 degrees
Space group I4/mmm (No. 139)
Inequivalent atoms, fractional coordinates:
Pu 0.000 0.000 0.000
Cd 0.000 0.211 0.500
Cd 0.000 0.348 0.000
Au 0.250 0.250 0.250



2.
First-principles (PBE-GGA) data for an optimized crystal structure of PuCdAu, as listed in the Alexandria database.

Results
Formation enthalpy at 0 K ... -0.31 eV/atom
Energy relative to the lowest polymorph listed for this composition ... 11 meV/atom
Size of the total moment ... 5.75 μB/f.u.

Cell lengths 5.0054, 5.0054, 3.1019 Å; angles 90.00, 90.00, 120.00 degrees
Space group P-6m2 (No. 187)
Inequivalent atoms, fractional coordinates:
Pu 0.0000 0.0000 0.0000
Cd 0.3333 0.6667 0.5000
Au 0.6667 0.3333 0.5000



3.
First-principles (PBE-GGA) data for an optimized crystal structure of Pu2Cd3Au3, as listed in the Alexandria database.

Results
Formation enthalpy at 0 K ... -0.20 eV/atom
Size of the total moment ... 12.04 μB/f.u.

Cell lengths 8.4388, 8.4388, 2.9901 Å; angles 90.00, 90.00, 120.00 degrees
Space group P-62m (No. 189)
Inequivalent atoms, fractional coordinates:
Pu 0.3333 0.6667 0.0000
Cd 0.0000 0.2368 0.0000
Au 0.0000 0.6574 0.5000



4.
First-principles (PBE-GGA) data for an optimized crystal structure of Pu2CdAu5, as listed in the Alexandria database.

Results
Formation enthalpy at 0 K ... -0.21 eV/atom
Size of the total moment ... 12.12 μB/f.u.

Cell lengths 7.543, 7.543, 6.040 Å; angles 90.00, 90.00, 90.00 degrees
Space group I4/mmm (No. 139)
Inequivalent atoms, fractional coordinates:
Pu 0.000 0.500 0.000
Cd 0.000 0.000 0.000
Au 0.000 0.000 0.500
Au 0.250 0.250 0.250



5.
First-principles (PBE-GGA) data for an optimized crystal structure of PuCdAu, as listed in the Alexandria database.

Results
Formation enthalpy at 0 K ... -0.17 eV/atom
Energy relative to the lowest polymorph listed for this composition ... 155 meV/atom
Size of the total moment ... 5.85 μB/f.u.

Cell lengths 8.470, 5.093, 7.363 Å; angles 90.00, 111.27, 90.00 degrees
Space group C2/m (No. 12)
Inequivalent atoms, fractional coordinates:
Pu 0.240 0.000 0.373
Cd 0.170 0.000 0.872
Au 0.017 0.500 0.207



6.
First-principles (PBE-GGA) data for an optimized crystal structure of PuCdAu2, as listed in the Alexandria database.

Results
Formation enthalpy at 0 K ... -0.20 eV/atom
Size of the total moment ... 5.65 μB/f.u.

Cell lengths 4.2815, 4.2815, 19.5618 Å; angles 90.00, 90.00, 120.00 degrees
Space group R3m (No. 160, hexagonal axes)
Inequivalent atoms, fractional coordinates:
Pu 0.0000 0.0000 0.0000
Cd 0.0000 0.0000 0.8261
Au 0.0000 0.0000 0.4206
Au 0.0000 0.0000 0.5750



7.
First-principles (PBE-GGA) data for an optimized crystal structure of PuCd3Au3, as listed in the Alexandria database.

Results
Formation enthalpy at 0 K ... 0.27 eV/atom
Energy relative to the lowest polymorph listed for this composition ... 515 meV/atom
Size of the total moment ... 6.09 μB/f.u.

Cell lengths 7.572, 7.572, 7.572 Å; angles 90.00, 90.00, 90.00 degrees
Space group Pm-3n (No. 223)
Inequivalent atoms, fractional coordinates:
Pu 0.000 0.000 0.000
Cd 0.000 0.250 0.500
Au 0.000 0.500 0.250



8.
First-principles (PBE-GGA) data for an optimized crystal structure of PuCd9Au2, as listed in the Alexandria database.

Results
Formation enthalpy at 0 K ... -0.11 eV/atom
Size of the total moment ... 5.84 μB/f.u.

Cell lengths 11.879, 11.879, 7.626 Å; angles 90.00, 90.00, 90.00 degrees
Space group I4_1/amd (No. 141, origin choice 2)
Inequivalent atoms, fractional coordinates:
Pu 0.000 0.250 0.375
Cd 0.000 0.250 0.875
Cd 0.120 0.050 0.674
Au 0.000 0.000 0.000



9.
First-principles (PBE-GGA) data for an optimized crystal structure of Pu3Cd2Au4, as listed in the Alexandria database.

Results
Formation enthalpy at 0 K ... -0.39 eV/atom
Size of the total moment ... 17.60 μB/f.u.

Cell lengths 10.640, 4.991, 9.140 Å; angles 90.00, 125.28, 90.00 degrees
Space group C2/m (No. 12)
Inequivalent atoms, fractional coordinates:
Pu 0.000 0.000 0.000
Pu 0.007 0.000 0.671
Cd 0.167 0.500 0.283
Au 0.164 0.500 0.944
Au 0.168 0.500 0.612



10.
First-principles (PBE-GGA) data for an optimized crystal structure of PuCd2Au8, as listed in the Alexandria database.

Results
Formation enthalpy at 0 K ... -0.19 eV/atom
Energy relative to the lowest polymorph listed for this composition ... 0 meV/atom
Size of the total moment ... 5.42 μB/f.u.

Cell lengths 15.202, 4.329, 6.842 Å; angles 90.00, 106.54, 90.00 degrees
Space group C2/m (No. 12)
Inequivalent atoms, fractional coordinates:
Pu 0.000 0.000 0.000
Cd 0.225 0.500 0.649
Au 0.044 0.500 0.721
Au 0.096 0.000 0.464
Au 0.140 0.500 0.199
Au 0.184 0.000 0.912



11.
First-principles (PBE-GGA) data for an optimized crystal structure of Pu3CdAu2, as listed in the Alexandria database.

Results
Formation enthalpy at 0 K ... -0.26 eV/atom
Energy relative to the lowest polymorph listed for this composition ... 0 meV/atom
Size of the total moment ... 5.86 μB/f.u.

Cell lengths 3.257, 3.257, 13.511 Å; angles 90.00, 90.00, 90.00 degrees
Space group P4/mmm (No. 123)
Inequivalent atoms, fractional coordinates:
Pu 0.000 0.000 0.000
Pu 0.000 0.000 0.318
Cd 0.500 0.500 0.500
Au 0.500 0.500 0.160



12.
First-principles (PBE-GGA) data for an optimized crystal structure of PuCd3Au2, as listed in the Alexandria database.

Results
Formation enthalpy at 0 K ... -0.22 eV/atom
Size of the total moment ... 5.78 μB/f.u.

Cell lengths 17.083, 4.573, 7.812 Å; angles 90.00, 115.46, 90.00 degrees
Space group C2/m (No. 12)
Inequivalent atoms, fractional coordinates:
Pu 0.114 0.000 0.181
Cd 0.074 0.000 0.700
Cd 0.126 0.500 0.519
Cd 0.196 0.500 0.964
Au 0.017 0.500 0.840
Au 0.240 0.000 0.628



13.
First-principles (PBE-GGA) data for an optimized crystal structure of PuCd6Au2, as listed in the Alexandria database.

Results
Formation enthalpy at 0 K ... -0.14 eV/atom
Size of the total moment ... 5.58 μB/f.u.

Cell lengths 4.269, 4.269, 11.361 Å; angles 90.00, 90.00, 90.00 degrees
Space group P4/mmm (No. 123)
Inequivalent atoms, fractional coordinates:
Pu 0.000 0.000 0.000
Cd 0.000 0.000 0.500
Cd 0.000 0.500 0.287
Cd 0.500 0.500 0.500
Au 0.500 0.500 0.118



14.
First-principles (PBE-GGA) data for an optimized crystal structure of Pu2Cd2Au15, as listed in the Alexandria database.

Results
Formation enthalpy at 0 K ... -0.17 eV/atom
Size of the total moment ... 11.55 μB/f.u.

Cell lengths 9.6482, 9.6482, 14.4928 Å; angles 90.00, 90.00, 120.00 degrees
Space group R-3m (No. 166, hexagonal axes)
Inequivalent atoms, fractional coordinates:
Pu 0.0000 0.0000 0.1478
Cd 0.0000 0.0000 0.3973
Au 0.0000 0.3073 0.5000
Au 0.0000 0.5000 0.0000
Au 0.0092 0.5046 0.6500



15.
First-principles (PBE-GGA) data for an optimized crystal structure of PuCdAu, as listed in the Alexandria database.

Results
Formation enthalpy at 0 K ... -0.32 eV/atom
Energy relative to the lowest polymorph listed for this composition ... 0 meV/atom
Size of the total moment ... 5.82 μB/f.u.

Cell lengths 7.7455, 7.7455, 4.1693 Å; angles 90.00, 90.00, 120.00 degrees
Space group P-62m (No. 189)
Inequivalent atoms, fractional coordinates:
Pu 0.0000 0.5900 0.0000
Cd 0.0000 0.2527 0.5000
Au 0.0000 0.0000 0.0000
Au 0.3333 0.6667 0.5000



16.
First-principles (PBE-GGA) data for an optimized crystal structure of PuCd4Au4, as listed in the Alexandria database.

Results
Formation enthalpy at 0 K ... -0.12 eV/atom
Size of the total moment ... 5.88 μB/f.u.

Cell lengths 6.539, 6.539, 9.563 Å; angles 90.00, 90.00, 90.00 degrees
Space group P4_2/nmc (No. 137, origin choice 2)
Inequivalent atoms, fractional coordinates:
Pu 0.250 0.750 0.250
Cd 0.026 0.250 0.169
Au 0.022 0.250 0.469



17.
First-principles (PBE-GGA) data for an optimized crystal structure of PuCd6Au3, as listed in the Alexandria database.

Results
Formation enthalpy at 0 K ... -0.18 eV/atom
Size of the total moment ... 5.70 μB/f.u.

Cell lengths 9.049, 4.668, 10.849 Å; angles 90.00, 101.34, 90.00 degrees
Space group P2_1/m (No. 11)
Inequivalent atoms, fractional coordinates:
Pu 0.070 0.250 0.270
Cd 0.124 0.250 0.606
Cd 0.146 0.750 0.036
Cd 0.308 0.750 0.764
Cd 0.361 0.750 0.291
Cd 0.398 0.250 0.470
Cd 0.466 0.250 0.913
Au 0.135 0.250 0.871
Au 0.199 0.750 0.485
Au 0.353 0.250 0.143



18.
First-principles (PBE-GGA) data for an optimized crystal structure of Pu3Cd7Au4, as listed in the Alexandria database.

Results
Formation enthalpy at 0 K ... -0.23 eV/atom
Size of the total moment ... 17.62 μB/f.u.

Cell lengths 16.626, 4.535, 10.615 Å; angles 90.00, 124.59, 90.00 degrees
Space group C2/m (No. 12)
Inequivalent atoms, fractional coordinates:
Pu 0.000 0.000 0.000
Pu 0.203 0.500 0.716
Cd 0.000 0.000 0.500
Cd 0.012 0.500 0.322
Cd 0.162 0.000 0.437
Cd 0.169 0.500 0.008
Au 0.120 0.000 0.825
Au 0.153 0.500 0.254



19.
First-principles (PBE-GGA) data for an optimized crystal structure of PuCd3Au3, as listed in the Alexandria database.

Results
Formation enthalpy at 0 K ... -0.25 eV/atom
Energy relative to the lowest polymorph listed for this composition ... 0 meV/atom
Size of the total moment ... 5.53 μB/f.u.

Cell lengths 8.6167, 8.6167, 4.7597 Å; angles 90.00, 90.00, 120.00 degrees
Space group P6_3/m (No. 176)
Inequivalent atoms, fractional coordinates:
Pu 0.3333 0.6667 0.2500
Cd 0.0097 0.7765 0.7500
Au 0.0725 0.4605 0.7500



20.
First-principles (PBE-GGA) data for an optimized crystal structure of PuCd4Au5, as listed in the Alexandria database.

Results
Formation enthalpy at 0 K ... -0.23 eV/atom
Energy relative to the lowest polymorph listed for this composition ... 0 meV/atom
Size of the total moment ... 5.44 μB/f.u.

Cell lengths 3.362, 3.362, 18.013 Å; angles 90.00, 90.00, 90.00 degrees
Space group P4/mmm (No. 123)
Inequivalent atoms, fractional coordinates:
Pu 0.000 0.000 0.000
Cd 0.000 0.000 0.212
Cd 0.000 0.000 0.404
Au 0.500 0.500 0.113
Au 0.500 0.500 0.308
Au 0.500 0.500 0.500



21.
First-principles (PBE-GGA) data for an optimized crystal structure of Pu2Cd6Au3, as listed in the Alexandria database.

Results
Formation enthalpy at 0 K ... -0.15 eV/atom
Size of the total moment ... 12.26 μB/f.u.

Cell lengths 9.4959, 9.4959, 3.2685 Å; angles 90.00, 90.00, 120.00 degrees
Space group P-62m (No. 189)
Inequivalent atoms, fractional coordinates:
Pu 0.3333 0.6667 0.0000
Cd 0.0000 0.1773 0.0000
Cd 0.0000 0.6966 0.5000
Au 0.0000 0.4146 0.5000